Below is Dy5Sb4N after structural relaxation, with properties calculated at the PBE-GGA level.

Cell lengths 6.168, 7.299, 7.299 Å; angles 79.71, 65.00, 65.00 degrees
Element x y z (fractional)
Dy 0.907 0.353 0.837
Dy 0.260 0.837 0.647
Dy 0.744 0.163 0.353
Dy 0.097 0.647 0.163
Dy 0.423 0.000 0.000
Sb 0.419 0.393 0.778
Sb 0.812 0.778 0.607
Sb 0.198 0.222 0.393
Sb 0.591 0.607 0.222
N 0.060 0.000 0.000

Values from the calculation:
Formation energy without anion corrections (eV/f.u.): -10.67
Symmetry: I4, No. 79
Total moment (μB/f.u.): 0.00

***

Below is DyEr2Hg6 after structural relaxation, with properties calculated at the PBE-GGA level.

Cell lengths 4.487, 4.487, 13.145 Å; angles 99.83, 99.83, 90.00 degrees
Element x y z (fractional)
Dy 0.000 0.000 0.000
Er 0.333 0.333 0.666
Er 0.667 0.667 0.334
Hg 0.916 0.416 0.832
Hg 0.416 0.916 0.832
Hg 0.084 0.584 0.168
Hg 0.750 0.250 0.500
Hg 0.250 0.750 0.500
Hg 0.584 0.084 0.168

Values from the calculation:
Symmetry: I4/mmm, No. 139
Energy above the most stable polymorph in this dataset (eV/f.u.): 2.15
Total moment (μB/f.u.): 0.00

***

Below is Sm3CdHg2 after structural relaxation, with properties calculated at the PBE-GGA level.

Cell lengths 3.800, 3.800, 11.406 Å; angles 90.00, 90.00, 90.00 degrees
Each line ends with the local moment (μB).
Element x y z (fractional)
Sm 0.000 0.000 0.000  0.21
Sm 0.000 0.000 0.669  0.17
Sm 0.000 0.000 0.331  0.17
Cd 0.500 0.500 0.500  0.01
Hg 0.500 0.500 0.832  0.02
Hg 0.500 0.500 0.168  0.02

Values from the calculation:
Symmetry: P4/mmm, No. 123
VASP energy (eV per atom): -3.0323
Total moment (μB/f.u.): 1.17

***

Below is ScAs2Br after structural relaxation, with properties calculated at the PBE-GGA level.

Cell lengths 5.680, 5.680, 3.383 Å; angles 90.00, 90.00, 125.84 degrees
Element x y z (fractional)
As 0.000 0.000 0.000
As 0.500 0.500 0.000
Br 0.500 0.000 0.500
Sc 0.000 0.500 0.500

Values from the calculation:
Formation energy without anion corrections (eV/f.u.): -0.87
Symmetry: Cmmm, No. 65
Energy above the most stable polymorph in this dataset (eV/f.u.): 2.34
Total moment (μB/f.u.): 0.00

***

Below is ScPbSe2O8 after structural relaxation, with properties calculated at the PBE-GGA level.

Cell lengths 5.264, 5.264, 7.569 Å; angles 89.59, 89.59, 68.15 degrees
Element x y z (fractional)
Sc 0.000 0.000 0.000
Pb 0.000 0.000 0.500
Se 0.633 0.633 0.219
Se 0.367 0.367 0.781
O 0.730 0.211 0.790
O 0.765 0.765 0.053
O 0.713 0.713 0.420
O 0.287 0.287 0.580
O 0.235 0.235 0.947
O 0.211 0.730 0.790
O 0.789 0.270 0.210
O 0.270 0.789 0.210

Values from the calculation:
Formation energy without anion corrections (eV/f.u.): -15.23
Symmetry: C2/m, No. 12
Total moment (μB/f.u.): 0.00

***

Below is AcBiBr after structural relaxation, with properties calculated at the PBE-GGA level.

Cell lengths 4.793, 4.793, 9.836 Å; angles 104.10, 104.10, 90.00 degrees
Element x y z (fractional)
Ac 0.369 0.369 0.739
Ac 0.631 0.631 0.261
Bi 0.000 0.500 0.000
Bi 0.500 0.000 0.000
Br 0.193 0.193 0.387
Br 0.807 0.807 0.613

Values from the calculation:
Formation energy without anion corrections (eV/f.u.): -3.52
Symmetry: I4/mmm, No. 139
Energy above the most stable polymorph in this dataset (eV/f.u.): 0.00
Total moment (μB/f.u.): 0.00

***

Below is AcNbIO4 after structural relaxation, with properties calculated at the PBE-GGA level.

Cell lengths 7.356, 7.356, 7.447 Å; angles 78.21, 78.21, 56.62 degrees
Element x y z (fractional)
Ac 0.291 0.291 0.827
Ac 0.709 0.709 0.173
Nb 0.628 0.628 0.753
Nb 0.372 0.372 0.247
I 0.022 0.022 0.315
I 0.978 0.978 0.685
O 0.308 0.308 0.497
O 0.692 0.692 0.503
O 0.116 0.529 0.122
O 0.518 0.518 0.215
O 0.471 0.884 0.878
O 0.529 0.116 0.122
O 0.482 0.482 0.785
O 0.884 0.471 0.878

Values from the calculation:
Formation energy without anion corrections (eV/f.u.): -17.53
Symmetry: C2/m, No. 12
Total moment (μB/f.u.): 0.00

***

Below is Sc2AlCdAu4 after structural relaxation, with properties calculated at the PBE-GGA level.

Cell lengths 4.728, 4.728, 8.164 Å; angles 73.17, 73.17, 60.00 degrees
Element x y z (fractional)
Sc 0.748 0.748 0.756
Sc 0.252 0.252 0.244
Al 0.500 0.500 0.500
Cd 0.000 0.000 0.000
Au 0.383 0.383 0.852
Au 0.870 0.870 0.390
Au 0.130 0.130 0.610
Au 0.617 0.617 0.148

Values from the calculation:
Symmetry: R-3m, No. 166
VASP energy (eV per atom): -4.4613
Total moment (μB/f.u.): 0.00

***

Below is Rb2TlSn after structural relaxation, with properties calculated at the PBE-GGA level.

Cell lengths 13.894, 13.894, 10.249 Å; angles 47.33, 47.33, 90.00 degrees
Element x y z (fractional)
Tl 0.000 0.000 0.000
Tl 0.750 0.250 0.500
Sn 0.500 0.500 0.000
Sn 0.250 0.750 0.500
Rb 0.444 0.125 0.250
Rb 0.306 0.625 0.250
Rb 0.375 0.556 0.750
Rb 0.875 0.694 0.750

Values from the calculation:
Symmetry: I-42d, No. 122
Energy above the most stable polymorph in this dataset (eV/f.u.): 0.40
Total moment (μB/f.u.): 0.00

***

Below is FeRu3W after structural relaxation, with properties calculated at the PBE-GGA level.

Cell lengths 4.656, 4.656, 4.656 Å; angles 90.00, 90.00, 90.00 degrees
Each line ends with the local moment (μB).
Element x y z (fractional)
Ru 0.000 0.500 0.000  0.73
Ru 0.000 0.000 0.500  0.75
Ru 0.500 0.000 0.000  0.70
Fe 0.500 0.500 0.500  3.42
W 0.000 0.000 0.000  -0.15

Values from the calculation:
Symmetry: Pm-3m, No. 221
Energy above the most stable polymorph in this dataset (eV/f.u.): 1.19
Total moment (μB/f.u.): 5.52

***

Below is Ag7Pd3 after structural relaxation, with properties calculated at the PBE-GGA level.

Cell lengths 4.126, 5.758, 7.638 Å; angles 102.14, 105.67, 90.00 degrees
Element x y z (fractional)
Ag 0.000 0.500 0.000
Ag 0.800 0.896 0.600
Ag 0.200 0.104 0.400
Ag 0.602 0.303 0.203
Ag 0.398 0.697 0.797
Ag 0.600 0.802 0.200
Ag 0.400 0.198 0.800
Pd 0.000 0.000 0.000
Pd 0.800 0.400 0.600
Pd 0.200 0.600 0.400

Values from the calculation:
Symmetry: C2/m, No. 12
VASP energy (eV per atom): -3.5925
Total moment (μB/f.u.): 0.00

***

Below is KZr2P after structural relaxation, with properties calculated at the PBE-GGA level.

Cell lengths 5.543, 6.080, 3.139 Å; angles 74.61, 90.91, 117.38 degrees
Element x y z (fractional)
K 0.000 0.500 0.500
P 0.500 0.500 0.000
Zr 0.000 0.000 0.000
Zr 0.500 0.000 0.500

Values from the calculation:
Symmetry: C2/m, No. 12
VASP energy (eV per atom): -5.4411
Total moment (μB/f.u.): 0.00

***

Below is LaTb2B6 after structural relaxation, with properties calculated at the PBE-GGA level.

Cell lengths 4.043, 5.737, 5.737 Å; angles 120.00, 90.00, 90.00 degrees
Element x y z (fractional)
La 0.000 0.000 0.000
Tb 0.000 0.333 0.667
Tb 0.000 0.667 0.333
B 0.500 0.342 0.342
B 0.500 0.658 0.658
B 0.500 0.000 0.658
B 0.500 0.658 0.000
B 0.500 0.342 0.000
B 0.500 0.000 0.342

Values from the calculation:
Symmetry: P6/mmm, No. 191
VASP energy (eV per atom): -6.4248
Total moment (μB/f.u.): 0.00

***

Below is Tb8In2Hg after structural relaxation, with properties calculated at the PBE-GGA level.

Cell lengths 5.337, 7.379, 9.367 Å; angles 113.20, 106.57, 90.00 degrees
Element x y z (fractional)
Tb 0.639 0.868 0.278
Tb 0.361 0.590 0.722
Tb 0.189 0.189 0.378
Tb 0.000 0.259 0.000
Tb 0.811 0.811 0.622
Tb 0.639 0.410 0.278
Tb 0.361 0.132 0.722
Tb 0.000 0.741 0.000
In 0.188 0.688 0.376
In 0.812 0.312 0.624
Hg 0.500 0.000 0.000

Values from the calculation:
Symmetry: Immm, No. 71
Energy above the most stable polymorph in this dataset (eV/f.u.): 0.38
Total moment (μB/f.u.): 0.00

***

Below is LiReGeS2 after structural relaxation, with properties calculated at the PBE-GGA level.

Cell lengths 4.528, 4.983, 4.528 Å; angles 90.00, 90.00, 90.00 degrees
Element x y z (fractional)
Re 0.000 0.000 0.000
Ge 0.500 0.500 0.500
S 0.000 0.000 0.500
S 0.500 0.000 0.000
Li 0.000 0.500 0.000

Values from the calculation:
Formation energy without anion corrections (eV/f.u.): 2.08
Symmetry: P4/mmm, No. 123
Total moment (μB/f.u.): 0.00

***

Below is CrPSN2 after structural relaxation, with properties calculated at the PBE-GGA level.

Cell lengths 3.324, 3.324, 6.929 Å; angles 90.00, 90.00, 90.00 degrees
Each line ends with the local moment (μB).
Element x y z (fractional)
Cr 0.500 0.500 0.500  3.52
S 0.000 0.000 0.500  -0.07
N 0.000 0.500 0.000  0.18
N 0.500 0.000 0.000  0.18
P 0.000 0.000 0.000  -0.02

Values from the calculation:
Formation energy without anion corrections (eV/f.u.): 2.96
Symmetry: P4/mmm, No. 123
Energy above the most stable polymorph in this dataset (eV/f.u.): 0.00
Total moment (μB/f.u.): 4.32

***

Below is Ca2MgSiS after structural relaxation, with properties calculated at the PBE-GGA level.

Cell lengths 5.620, 4.898, 5.620 Å; angles 90.00, 90.00, 90.00 degrees
Element x y z (fractional)
Mg 0.500 0.500 0.500
Ca 0.000 0.000 0.500
Ca 0.500 0.000 0.000
Si 0.000 0.000 0.000
S 0.000 0.500 0.000

Values from the calculation:
Formation energy without anion corrections (eV/f.u.): -0.03
Symmetry: P4/mmm, No. 123
Total moment (μB/f.u.): 0.00

***

Below is HoTl2IO6 after structural relaxation, with properties calculated at the PBE-GGA level.

Cell lengths 5.863, 6.537, 6.537 Å; angles 120.00, 90.00, 90.00 degrees
Element x y z (fractional)
Ho 0.500 0.000 0.000
Tl 0.071 0.333 0.667
Tl 0.929 0.667 0.333
I 0.000 0.000 0.000
O 0.799 0.134 0.268
O 0.799 0.134 0.866
O 0.799 0.732 0.866
O 0.201 0.866 0.134
O 0.201 0.268 0.134
O 0.201 0.866 0.732

Values from the calculation:
Formation energy without anion corrections (eV/f.u.): -11.71
Symmetry: P-3m1, No. 164
Total moment (μB/f.u.): 0.00

***

Below is Be2AlSiPt after structural relaxation, with properties calculated at the PBE-GGA level.

Cell lengths 4.201, 4.693, 4.201 Å; angles 90.00, 90.00, 90.00 degrees
Element x y z (fractional)
Be 0.000 0.000 0.500
Be 0.500 0.000 0.000
Si 0.000 0.500 0.000
Al 0.000 0.000 0.000
Pt 0.500 0.500 0.500

Values from the calculation:
Formation energy without anion corrections (eV/f.u.): 5.39
Symmetry: P4/mmm, No. 123
Total moment (μB/f.u.): 0.00

***

Below is La3Pr2Tm5 after structural relaxation, with properties calculated at the PBE-GGA level.

Cell lengths 9.259, 9.253, 11.305 Å; angles 123.48, 123.49, 69.64 degrees
Element x y z (fractional)
La 0.234 0.984 0.968
La 0.766 0.016 0.032
La 0.728 0.474 0.250
La 0.272 0.526 0.750
La 0.022 0.776 0.250
La 0.978 0.224 0.750
Pr 0.765 0.013 0.736
Pr 0.235 0.987 0.264
Pr 0.471 0.723 0.736
Pr 0.529 0.277 0.264
Tm 0.274 0.524 0.049
Tm 0.726 0.476 0.951
Tm 0.025 0.775 0.551
Tm 0.530 0.280 0.559
Tm 0.975 0.225 0.449
Tm 0.470 0.720 0.441
Tm 0.857 0.604 0.725
Tm 0.143 0.396 0.275
Tm 0.367 0.121 0.725
Tm 0.633 0.879 0.275

Values from the calculation:
Symmetry: C2/c, No. 15
VASP energy (eV per atom): -4.4986
Total moment (μB/f.u.): 0.00

***

Below is CaAc6Nd after structural relaxation, with properties calculated at the PBE-GGA level.

Cell lengths 5.582, 5.582, 11.117 Å; angles 90.00, 90.00, 90.00 degrees
Element x y z (fractional)
Ca 0.000 0.000 0.000
Ac 0.500 0.500 0.000
Ac 0.500 0.500 0.500
Ac 0.500 0.000 0.256
Ac 0.500 0.000 0.744
Ac 0.000 0.500 0.256
Ac 0.000 0.500 0.744
Nd 0.000 0.000 0.500

Values from the calculation:
Symmetry: P4/mmm, No. 123
VASP energy (eV per atom): -3.9069
Total moment (μB/f.u.): 0.00

***

Below is AlTe3 after structural relaxation, with properties calculated at the PBE-GGA level.

Cell lengths 4.778, 4.778, 4.778 Å; angles 90.00, 90.00, 90.00 degrees
Element x y z (fractional)
Te 0.000 0.500 0.500
Te 0.500 0.000 0.500
Te 0.500 0.500 0.000
Al 0.000 0.000 0.000

Values from the calculation:
Formation energy without anion corrections (eV/f.u.): 1.58
Symmetry: Pm-3m, No. 221
Total moment (μB/f.u.): 0.00

***

Below is NiW after structural relaxation, with properties calculated at the PBE-GGA level.

Cell lengths 3.819, 3.819, 4.670 Å; angles 90.00, 90.00, 120.00 degrees
Element x y z (fractional)
Ni 0.000 0.000 0.000
Ni 0.000 0.000 0.500
W 0.333 0.667 0.250
W 0.667 0.333 0.750

Values from the calculation:
Symmetry: P6_3/mmc, No. 194
VASP energy (eV per atom): -8.6629
Total moment (μB/f.u.): 0.00

***

Below is Tm6Tl2Rh after structural relaxation, with properties calculated at the PBE-GGA level.

Cell lengths 4.998, 7.168, 8.577 Å; angles 114.70, 106.92, 90.00 degrees
Element x y z (fractional)
Tm 0.155 0.393 0.310
Tm 0.845 0.083 0.690
Tm 0.845 0.607 0.690
Tm 0.500 0.226 0.000
Tm 0.155 0.917 0.310
Tm 0.500 0.774 0.000
Tl 0.667 0.667 0.334
Tl 0.333 0.333 0.666
Rh 0.000 0.000 0.000

Values from the calculation:
Symmetry: Immm, No. 71
VASP energy (eV per atom): -4.5618
Total moment (μB/f.u.): 0.00

***

Below is Tb2Pr4Y2Tm after structural relaxation, with properties calculated at the PBE-GGA level.

Cell lengths 5.130, 8.123, 8.092 Å; angles 107.56, 90.00, 108.41 degrees
Element x y z (fractional)
Tb 0.889 0.778 0.330
Tb 0.111 0.222 0.670
Pr 0.777 0.555 0.667
Pr 0.223 0.445 0.333
Pr 0.554 0.108 0.331
Pr 0.446 0.892 0.669
Y 0.334 0.667 0.000
Y 0.666 0.333 0.000
Tm 0.000 0.000 0.000

Values from the calculation:
Symmetry: C2/m, No. 12
VASP energy (eV per atom): -5.0641
Total moment (μB/f.u.): 0.00

***

no.,V (Å³ per atom),calculated density (g/cm3)
1,27.0,8.08
2,28.5,11.00
3,27.4,9.73
4,22.1,5.16
5,16.2,4.59
6,35.4,8.08
7,23.4,5.18
8,18.6,11.34
9,70.5,2.91
10,20.2,8.93
11,17.0,10.46
12,22.5,4.67
13,12.8,7.52
14,29.3,8.77
15,20.4,5.36
16,15.3,3.10
17,30.9,1.77
18,21.7,6.10
19,16.6,5.38
20,33.6,7.62
21,43.3,7.41
22,27.3,6.24
23,14.7,13.65
24,29.4,9.58
25,33.7,6.72